# LiNiBi3, relaxed, DFT GGA-PBE
data_LiNiBi3
_chemical_formula_sum 'Li1 Ni1 Bi3'
_cell_length_a 5.065
_cell_length_b 5.065
_cell_length_c 5.065
_cell_angle_alpha 90.00
_cell_angle_beta 90.00
_cell_angle_gamma 90.00
_symmetry_space_group_name_H-M 'P m -3 m'
_symmetry_Int_Tables_number 221
_symmetry_space_group_name_Hall '-P 4 2 3'
loop_
_atom_site_label
_atom_site_type_symbol
_atom_site_fract_x
_atom_site_fract_y
_atom_site_fract_z
Li1 Li 0.000 0.000 0.000
Ni1 Ni 0.500 0.500 0.500
Bi1 Bi 0.000 0.000 0.500
# ΔE to the lowest computed polymorph, meV per atom: 462
# Magnetization, μB per cell: 0.00
# ΔH_f (0 K), meV/atom: 614
# D(E_F), states/eV/cell: 2.56

---

# SmCd6Hg6, relaxed, DFT GGA-PBE
data_SmCd6Hg6
_chemical_formula_sum 'Sm1 Cd6 Hg6'
_cell_length_a 6.0563
_cell_length_b 6.0563
_cell_length_c 9.8525
_cell_angle_alpha 90.00
_cell_angle_beta 90.00
_cell_angle_gamma 120.00
_symmetry_space_group_name_H-M 'P 6/m m m'
_symmetry_Int_Tables_number 191
_symmetry_space_group_name_Hall '-P 6 2'
loop_
_atom_site_label
_atom_site_type_symbol
_atom_site_fract_x
_atom_site_fract_y
_atom_site_fract_z
Sm1 Sm 0.0000 0.0000 0.0000
Cd1 Cd 0.0000 0.5000 0.2475
Hg1 Hg 0.0000 0.0000 0.3486
Hg2 Hg 0.3333 0.6667 0.0000
Hg3 Hg 0.3333 0.6667 0.5000
# ΔE to the lowest computed polymorph, meV per atom: 18
# Magnetization, μB per cell: 0.00
# ΔH_f (0 K), meV/atom: -54
# D(E_F), states/eV/cell: 6.73

---

# Ho8Er5Sc, relaxed, DFT GGA-PBE
data_Ho8Er5Sc
_chemical_formula_sum 'Ho8 Er5 Sc1'
_cell_length_a 8.340
_cell_length_b 8.345
_cell_length_c 8.481
_cell_angle_alpha 118.33
_cell_angle_beta 114.96
_cell_angle_gamma 95.07
_symmetry_space_group_name_H-M 'P 1'
_symmetry_Int_Tables_number 1
loop_
_symmetry_equiv_pos_as_xyz
'x,y,z'
loop_
_atom_site_label
_atom_site_type_symbol
_atom_site_fract_x
_atom_site_fract_y
_atom_site_fract_z
Ho1 Ho 0.000 0.000 0.000
Ho2 Ho 0.041 0.867 0.574
Ho3 Ho 0.131 0.717 0.184
Ho4 Ho 0.371 0.197 0.573
Ho5 Ho 0.454 0.007 0.115
Ho6 Ho 0.695 0.489 0.518
Ho7 Ho 0.777 0.330 0.120
Ho8 Ho 0.872 0.287 0.775
Er1 Er 0.153 0.567 0.774
Er2 Er 0.279 0.533 0.465
Er3 Er 0.338 0.369 0.042
Er4 Er 0.596 0.850 0.461
Er5 Er 0.664 0.664 0.999
Sc1 Sc 0.912 0.134 0.383
# Magnetization, μB per cell: 0.00
# ΔH_f (0 K), meV/atom: 155
# D(E_F), states/eV/cell: 18.13

---

# BaNaMg2Cd, relaxed, DFT GGA-PBE
data_BaNaMg2Cd
_chemical_formula_sum 'Ba1 Na1 Mg2 Cd1'
_cell_length_a 5.468
_cell_length_b 5.468
_cell_length_c 5.753
_cell_angle_alpha 90.00
_cell_angle_beta 90.00
_cell_angle_gamma 90.00
_symmetry_space_group_name_H-M 'P 4/m m m'
_symmetry_Int_Tables_number 123
_symmetry_space_group_name_Hall '-P 4 2'
loop_
_atom_site_label
_atom_site_type_symbol
_atom_site_fract_x
_atom_site_fract_y
_atom_site_fract_z
Ba1 Ba 0.000 0.000 0.000
Na1 Na 0.500 0.500 0.000
Mg1 Mg 0.000 0.500 0.500
Cd1 Cd 0.500 0.500 0.500
# Magnetization, μB per cell: 0.01
# ΔH_f (0 K), meV/atom: 38
# D(E_F), states/eV/cell: 3.47

---

# TiCr3I, relaxed, DFT GGA-PBE
data_TiCr3I
_chemical_formula_sum 'Ti1 Cr3 I1'
_cell_length_a 4.928
_cell_length_b 4.928
_cell_length_c 4.928
_cell_angle_alpha 90.00
_cell_angle_beta 90.00
_cell_angle_gamma 90.00
_symmetry_space_group_name_H-M 'P m -3 m'
_symmetry_Int_Tables_number 221
_symmetry_space_group_name_Hall '-P 4 2 3'
loop_
_atom_site_label
_atom_site_type_symbol
_atom_site_fract_x
_atom_site_fract_y
_atom_site_fract_z
Ti1 Ti 0.000 0.000 0.000
Cr1 Cr 0.000 0.500 0.500
I1 I 0.500 0.500 0.500
# ΔE to the lowest computed polymorph, meV per atom: 188
# Magnetization, μB per cell: 8.88
# ΔE_f (raw), kJ per mole of atoms: 157.9
# D(E_F), states/eV/cell: 3.20

---

# Ce3Mg4Hg4, relaxed, DFT GGA-PBE
data_Ce3Mg4Hg4
_chemical_formula_sum 'Ce6 Mg8 Hg8'
_cell_length_a 9.399
_cell_length_b 4.718
_cell_length_c 12.706
_cell_angle_alpha 90.00
_cell_angle_beta 90.00
_cell_angle_gamma 90.00
_symmetry_space_group_name_H-M 'A m m 2'
_symmetry_Int_Tables_number 38
loop_
_symmetry_equiv_pos_as_xyz
'x,y,z'
'-x,-y,z'
'-x,y,z'
'x,-y,z'
'x,y+1/2,z+1/2'
'-x,-y+1/2,z+1/2'
'-x,y+1/2,z+1/2'
'x,-y+1/2,z+1/2'
loop_
_atom_site_label
_atom_site_type_symbol
_atom_site_fract_x
_atom_site_fract_y
_atom_site_fract_z
Ce1 Ce 0.000 0.000 0.000
Ce2 Ce 0.282 0.000 0.103
Mg1 Mg 0.000 0.000 0.285
Mg2 Mg 0.254 0.000 0.810
Mg3 Mg 0.500 0.000 0.341
Hg1 Hg 0.000 0.000 0.667
Hg2 Hg 0.225 0.000 0.436
Hg3 Hg 0.500 0.000 0.678
# Magnetization, μB per cell: 5.88
# ΔH_f (0 K), meV/atom: -206
# D(E_F), states/eV/cell: 43.44

---

# Tb2Ho2Er15, relaxed, DFT GGA-PBE
data_Tb2Ho2Er15
_chemical_formula_sum 'Tb6 Ho6 Er45'
_cell_length_a 11.0312
_cell_length_b 11.0312
_cell_length_c 17.4450
_cell_angle_alpha 90.00
_cell_angle_beta 90.00
_cell_angle_gamma 120.00
_symmetry_space_group_name_H-M 'R -3 m'
_symmetry_Int_Tables_number 166
_symmetry_space_group_name_Hall '-R 3 2"'
loop_
_atom_site_label
_atom_site_type_symbol
_atom_site_fract_x
_atom_site_fract_y
_atom_site_fract_z
Tb1 Tb 0.0000 0.0000 0.1766
Ho1 Ho 0.0000 0.0000 0.4023
Er1 Er 0.0000 0.2997 0.5000
Er2 Er 0.0000 0.5000 0.0000
Er3 Er 0.0117 0.5059 0.6365
# Magnetization, μB per cell: 0.00
# ΔH_f (0 K), meV/atom: 291
# D(E_F), states/eV/cell: 101.57

---

# Er3Mg2Sc, relaxed, DFT GGA-PBE
data_Er3Mg2Sc
_chemical_formula_sum 'Er3 Mg2 Sc1'
_cell_length_a 3.539
_cell_length_b 3.539
_cell_length_c 13.051
_cell_angle_alpha 90.00
_cell_angle_beta 90.00
_cell_angle_gamma 90.00
_symmetry_space_group_name_H-M 'P 4/m m m'
_symmetry_Int_Tables_number 123
_symmetry_space_group_name_Hall '-P 4 2'
loop_
_atom_site_label
_atom_site_type_symbol
_atom_site_fract_x
_atom_site_fract_y
_atom_site_fract_z
Er1 Er 0.000 0.000 0.000
Er2 Er 0.000 0.000 0.332
Mg1 Mg 0.500 0.500 0.164
Sc1 Sc 0.500 0.500 0.500
# Magnetization, μB per cell: 0.00
# ΔH_f (0 K), meV/atom: -24
# D(E_F), states/eV/cell: 8.79

---

- Look up the D(E_F) of the third one.
  18.13 states/eV/cell

---

- Look up the D(E_F) of the third one.
  18.13 states/eV/cell

---

- Which of these has the lowest D(E_F)?
  LiNiBi3